(1)
A relaxed structure of RbPuZnO4, computed with PBE.

The structure in POSCAR format:
```
RbPuZnO4
1.0
-3.148 3.464 5.470
3.148 -3.464 5.470
3.148 3.464 -5.470
Rb Pu Zn O
2 2 2 8
Direct
0.420 0.170 0.250
0.580 0.830 0.750
0.000 0.500 0.500
0.500 0.500 0.000
0.000 0.000 0.500
0.000 0.500 0.000
0.134 0.696 0.438
0.242 0.304 0.938
0.257 0.305 0.547
0.257 0.710 0.953
0.743 0.290 0.047
0.743 0.695 0.453
0.758 0.696 0.062
0.866 0.304 0.562
```

Properties
formation energy from raw total energies	-1998	meV/atom


(2)
A relaxed structure of TiCNF2, computed with PBE.

The structure in POSCAR format:
```
TiCNF2
1.0
3.854 0.000 0.000
0.000 3.854 0.000
0.000 0.000 4.025
Ti C N F
1 1 1 2
Direct
0.000 0.000 0.000
0.500 0.500 0.500
0.000 0.000 0.500
0.000 0.500 0.000
0.500 0.000 0.000
```

Properties
formation energy from raw total energies	-193	meV/atom
energy above the lowest structure with this stoichiometry	1.22	eV/f.u.


(3)
A relaxed structure of Sm4TmZn5, computed with PBE.

The structure in POSCAR format:
```
Sm4TmZn5
1.0
3.611 0.000 0.000
0.000 3.611 0.000
0.000 0.000 18.138
Sm Tm Zn
4 1 5
Direct
0.000 0.000 0.102
0.000 0.000 0.304
0.000 0.000 0.696
0.000 0.000 0.898
0.000 0.000 0.500
0.500 0.500 0.000
0.500 0.500 0.202
0.500 0.500 0.408
0.500 0.500 0.592
0.500 0.500 0.798
```

Properties
DFT formation energy	-0.321	eV per atom


(4)
A relaxed structure of ScTa2Cl, computed with PBE.

The structure in POSCAR format:
```
ScTa2Cl
1.0
3.163 0.000 0.000
0.000 5.545 0.000
-0.040 0.000 4.517
Sc Ta Cl
1 2 1
Direct
0.000 0.000 0.000
0.263 0.500 0.230
0.737 0.500 0.770
0.500 0.000 0.500
```

Properties
formation energy from raw total energies	171	meV/atom
energy above the lowest structure with this stoichiometry	1.47	eV/f.u.